No. 1
Density functional theory data (PBE-GGA) for a relaxed structure of Ac6HgPt3.

a = 13.030 Å, b = 4.436 Å, c = 13.490 Å
α = 90.00°, β = 112.38°, γ = 90.00°
Fractional coordinates of all 20 atoms:
Ac1 0.044 0.250 0.383
Ac2 0.103 0.750 0.945
Ac3 0.246 0.750 0.275
Ac4 0.249 0.250 0.783
Ac5 0.413 0.250 0.570
Ac6 0.443 0.250 0.112
Ac7 0.557 0.750 0.888
Ac8 0.587 0.750 0.430
Ac9 0.751 0.750 0.217
Ac10 0.754 0.250 0.725
Ac11 0.897 0.250 0.055
Ac12 0.956 0.750 0.617
Hg1 0.209 0.750 0.568
Hg2 0.791 0.250 0.432
Pt1 0.014 0.250 0.785
Pt2 0.341 0.750 0.948
Pt3 0.415 0.250 0.340
Pt4 0.585 0.750 0.660
Pt5 0.659 0.250 0.052
Pt6 0.986 0.750 0.215

Values from the calculation:
As for the volume: 36.054 Å³/atom. As for the electronic total energy: -5.12 eV/atom. The space group is P2_1/m (11). As for the formation enthalpy at 0 K: -0.8134 eV per atom.

---

No. 2
Density functional theory data (PBE-GGA) for a relaxed structure of Li2HgIr2.

a = 5.890 Å, b = 5.890 Å, c = 3.937 Å
α = 90.00°, β = 90.00°, γ = 90.00°
Fractional coordinates of all 10 atoms:
Li1 0.121 0.379 0.000
Li2 0.379 0.879 0.000
Li3 0.621 0.121 0.000
Li4 0.879 0.621 0.000
Hg1 0.000 0.000 0.000
Hg2 0.500 0.500 0.000
Ir1 0.173 0.673 0.500
Ir2 0.327 0.173 0.500
Ir3 0.673 0.827 0.500
Ir4 0.827 0.327 0.500

Values from the calculation:
As for the volume: 13.658 Å³/atom. As for the electronic total energy: -4.14 eV/atom. The space group is P4/mbm (127). As for the formation enthalpy at 0 K: 0.2310 eV per atom.

---

No. 3
Density functional theory data (PBE-GGA) for a relaxed structure of CaAc5Pm4.

a = 3.885 Å, b = 3.885 Å, c = 26.675 Å
α = 90.00°, β = 90.00°, γ = 90.00°
Fractional coordinates of all 10 atoms:
Ca1 0.000 0.000 0.000
Ac1 0.500 0.500 0.108
Ac2 0.500 0.500 0.303
Ac3 0.500 0.500 0.500
Ac4 0.500 0.500 0.697
Ac5 0.500 0.500 0.892
Pm1 0.000 0.000 0.204
Pm2 0.000 0.000 0.402
Pm3 0.000 0.000 0.598
Pm4 0.000 0.000 0.796

Values from the calculation:
As for the volume: 40.264 Å³/atom. As for the electronic total energy: -4.12 eV/atom. The space group is P4/mmm (123). As for the formation enthalpy at 0 K: 0.0313 eV per atom.

---

No. 4
Density functional theory data (PBE-GGA) for a relaxed structure of CdHRh2Pb.

a = 4.253 Å, b = 4.253 Å, c = 4.091 Å
α = 90.00°, β = 90.00°, γ = 90.00°
Fractional coordinates of all 5 atoms:
Cd1 0.000 0.000 0.000
H1 0.000 0.000 0.500
Rh1 0.000 0.500 0.500
Rh2 0.500 0.000 0.500
Pb1 0.500 0.500 0.000

Values from the calculation:
As for the volume: 14.799 Å³/atom. As for the electronic total energy: -4.46 eV/atom. The space group is P4/mmm (123).

---

No. 5
Density functional theory data (PBE-GGA) for a relaxed structure of Cu4As3.

a = 5.328 Å, b = 5.328 Å, c = 4.626 Å
α = 90.00°, β = 90.00°, γ = 120.00°
Fractional coordinates of all 7 atoms:
Cu1 0.000 0.000 0.247
Cu2 0.000 0.000 0.753
Cu3 0.333 0.667 0.000
Cu4 0.667 0.333 0.000
As1 0.000 0.500 0.500
As2 0.500 0.000 0.500
As3 0.500 0.500 0.500

Values from the calculation:
As for the volume: 16.246 Å³/atom. As for the electronic total energy: -3.83 eV/atom. The calculation puts the distance to the lowest polymorph of the same formula at 2.63 eV/f.u. The space group is P6/mmm (191). As for the formation enthalpy at 0 K: 0.5070 eV per atom.

---

No. 6
Density functional theory data (PBE-GGA) for a relaxed structure of BaTeSeN2.

a = 4.382 Å, b = 4.382 Å, c = 5.501 Å
α = 90.00°, β = 90.00°, γ = 90.00°
Fractional coordinates of all 5 atoms:
Ba1 0.000 0.000 0.000
Te1 0.500 0.500 0.500
Se1 0.500 0.500 0.000
N1 0.000 0.500 0.500
N2 0.500 0.000 0.500

Values from the calculation:
As for the volume: 21.124 Å³/atom. As for the electronic total energy: -4.60 eV/atom. The value obtained for the uncorrected formation energy is 0.440 eV per atom. The calculation puts the distance to the lowest polymorph of the same formula at 0.00 eV/f.u. The space group is P4/mmm (123).

---

No. 7
Density functional theory data (PBE-GGA) for a relaxed structure of CaDyCuNi.

a = 6.880 Å, b = 6.880 Å, c = 6.880 Å
α = 90.00°, β = 90.00°, γ = 90.00°
Fractional coordinates of all 16 atoms:
Ca1 0.000 0.000 0.000
Ca2 0.000 0.500 0.500
Ca3 0.500 0.000 0.500
Ca4 0.500 0.500 0.000
Dy1 0.000 0.000 0.500
Dy2 0.000 0.500 0.000
Dy3 0.500 0.000 0.000
Dy4 0.500 0.500 0.500
Cu1 0.250 0.250 0.250
Cu2 0.250 0.750 0.750
Cu3 0.750 0.250 0.750
Cu4 0.750 0.750 0.250
Ni1 0.250 0.250 0.750
Ni2 0.250 0.750 0.250
Ni3 0.750 0.250 0.250
Ni4 0.750 0.750 0.750

Values from the calculation:
As for the volume: 20.358 Å³/atom. As for the electronic total energy: -4.28 eV/atom. The space group is F-43m (216). As for the formation enthalpy at 0 K: -0.1575 eV per atom.

---

No. 8
Density functional theory data (PBE-GGA) for a relaxed structure of LuThTi2.

a = 3.721 Å, b = 3.721 Å, c = 6.800 Å
α = 90.00°, β = 90.00°, γ = 90.00°
Fractional coordinates of all 4 atoms:
Lu1 0.000 0.000 0.000
Th1 0.000 0.000 0.500
Ti1 0.500 0.500 0.285
Ti2 0.500 0.500 0.715

Values from the calculation:
As for the volume: 23.536 Å³/atom. As for the electronic total energy: -6.77 eV/atom. The calculation puts the distance to the lowest polymorph of the same formula at 0.00 eV/f.u. The space group is P4/mmm (123). As for the formation enthalpy at 0 K: 0.1626 eV per atom.

---

No. 9
Density functional theory data (PBE-GGA) for a relaxed structure of CeHgCl4.

a = 7.049 Å, b = 7.049 Å, c = 8.362 Å
α = 114.87°, β = 114.87°, γ = 90.03°
Fractional coordinates of all 12 atoms:
Ce1 0.125 0.875 0.750
Ce2 0.875 0.125 0.250
Hg1 0.375 0.625 0.250
Hg2 0.625 0.375 0.750
Cl1 0.001 0.222 0.000
Cl2 0.222 0.001 0.500
Cl3 0.222 0.500 0.500
Cl4 0.500 0.222 0.000
Cl5 0.500 0.778 0.000
Cl6 0.778 0.500 0.500
Cl7 0.778 0.999 0.500
Cl8 0.999 0.778 0.000

Values from the calculation:
As for the volume: 27.829 Å³/atom. As for the electronic total energy: -3.76 eV/atom. The value obtained for the uncorrected formation energy is -1.490 eV per atom. The space group is C2/c (15).

---

No. 10
Density functional theory data (PBE-GGA) for a relaxed structure of Cd5In7.

a = 7.985 Å, b = 7.985 Å, c = 12.299 Å
α = 96.07°, β = 96.07°, γ = 23.44°
Fractional coordinates of all 12 atoms:
Cd1 0.000 0.000 0.000
Cd2 0.168 0.168 0.661
Cd3 0.342 0.342 0.848
Cd4 0.658 0.658 0.152
Cd5 0.832 0.832 0.339
In1 0.003 0.003 0.248
In2 0.173 0.173 0.406
In3 0.331 0.331 0.102
In4 0.500 0.500 0.500
In5 0.669 0.669 0.898
In6 0.827 0.827 0.594
In7 0.997 0.997 0.752

Values from the calculation:
As for the volume: 25.842 Å³/atom. As for the electronic total energy: -1.94 eV/atom. The calculation puts the distance to the lowest polymorph of the same formula at 0.24 eV/f.u. The space group is C2/m (12). As for the formation enthalpy at 0 K: 0.0408 eV per atom.

---

No. 11
Density functional theory data (PBE-GGA) for a relaxed structure of ZnInRu4.

a = 5.162 Å, b = 5.162 Å, c = 5.162 Å
α = 60.00°, β = 60.00°, γ = 60.00°
Fractional coordinates of all 6 atoms:
Zn1 0.000 0.000 0.000
In1 0.750 0.750 0.750
Ru1 0.375 0.375 0.375
Ru2 0.375 0.375 0.876
Ru3 0.375 0.876 0.375
Ru4 0.876 0.375 0.375

Values from the calculation:
As for the volume: 16.213 Å³/atom. As for the electronic total energy: -6.42 eV/atom. The space group is F-43m (216). As for the formation enthalpy at 0 K: 0.4359 eV per atom.

---

No. 12
Density functional theory data (PBE-GGA) for a relaxed structure of Mg3CoBr8.

a = 7.705 Å, b = 7.705 Å, c = 8.380 Å
α = 117.78°, β = 117.78°, γ = 60.00°
Fractional coordinates of all 12 atoms:
Mg1 0.000 0.000 0.000
Mg2 0.000 0.500 0.000
Mg3 0.500 0.000 0.000
Co1 0.500 0.500 0.000
Br1 0.239 0.239 0.215
Br2 0.245 0.733 0.209
Br3 0.267 0.267 0.791
Br4 0.267 0.755 0.791
Br5 0.733 0.245 0.209
Br6 0.733 0.733 0.209
Br7 0.755 0.267 0.791
Br8 0.761 0.761 0.785

Values from the calculation:
As for the volume: 30.257 Å³/atom. As for the electronic total energy: -3.28 eV/atom. The value obtained for the uncorrected formation energy is -1.172 eV per atom. The space group is C2/m (12).

---

No. 13
Density functional theory data (PBE-GGA) for a relaxed structure of GeRh2N.

a = 5.874 Å, b = 5.874 Å, c = 5.874 Å
α = 90.00°, β = 90.00°, γ = 90.00°
Fractional coordinates of all 16 atoms:
Ge1 0.000 0.000 0.000
Ge2 0.000 0.500 0.500
Ge3 0.500 0.000 0.500
Ge4 0.500 0.500 0.000
Rh1 0.250 0.250 0.250
Rh2 0.250 0.250 0.750
Rh3 0.250 0.750 0.250
Rh4 0.250 0.750 0.750
Rh5 0.750 0.250 0.250
Rh6 0.750 0.250 0.750
Rh7 0.750 0.750 0.250
Rh8 0.750 0.750 0.750
N1 0.000 0.000 0.500
N2 0.000 0.500 0.000
N3 0.500 0.000 0.000
N4 0.500 0.500 0.500

Values from the calculation:
As for the volume: 12.669 Å³/atom. As for the electronic total energy: -6.25 eV/atom. The value obtained for the uncorrected formation energy is 0.659 eV per atom. The calculation puts the distance to the lowest polymorph of the same formula at 2.14 eV/f.u. The space group is Fm-3m (225).

---

No. 14
Density functional theory data (PBE-GGA) for a relaxed structure of Mg2AlAg.

a = 4.331 Å, b = 4.331 Å, c = 8.099 Å
α = 90.00°, β = 90.00°, γ = 90.00°
Fractional coordinates of all 8 atoms:
Mg1 0.000 0.500 0.250
Mg2 0.000 0.500 0.750
Mg3 0.500 0.000 0.250
Mg4 0.500 0.000 0.750
Al1 0.000 0.000 0.000
Al2 0.500 0.500 0.500
Ag1 0.000 0.000 0.500
Ag2 0.500 0.500 0.000

Values from the calculation:
As for the volume: 18.991 Å³/atom. As for the electronic total energy: -2.52 eV/atom. The space group is I4/mmm (139). As for the formation enthalpy at 0 K: -0.0775 eV per atom.

---

No. 15
Density functional theory data (PBE-GGA) for a relaxed structure of Rb3Dy3SnSe8.

a = 9.495 Å, b = 9.495 Å, c = 9.495 Å
α = 52.00°, β = 52.00°, γ = 52.00°
Fractional coordinates of all 15 atoms:
Rb1 0.000 0.500 0.500
Rb2 0.500 0.000 0.500
Rb3 0.500 0.500 0.000
Dy1 0.000 0.000 0.500
Dy2 0.000 0.500 0.000
Dy3 0.500 0.000 0.000
Sn1 0.500 0.500 0.500
Se1 0.231 0.231 0.231
Se2 0.242 0.724 0.724
Se3 0.276 0.276 0.758
Se4 0.276 0.758 0.276
Se5 0.724 0.242 0.724
Se6 0.724 0.724 0.242
Se7 0.758 0.276 0.276
Se8 0.769 0.769 0.769

Values from the calculation:
As for the volume: 32.759 Å³/atom. As for the electronic total energy: -4.69 eV/atom. The value obtained for the uncorrected formation energy is -1.446 eV per atom. The space group is R-3m (166).

---

No. 16
Density functional theory data (PBE-GGA) for a relaxed structure of LaPaTl2.

a = 3.457 Å, b = 3.457 Å, c = 9.423 Å
α = 90.00°, β = 90.00°, γ = 90.00°
Fractional coordinates of all 4 atoms:
La1 0.000 0.000 0.000
Pa1 0.000 0.000 0.500
Tl1 0.500 0.500 0.258
Tl2 0.500 0.500 0.742

Values from the calculation:
As for the volume: 28.154 Å³/atom. As for the electronic total energy: -4.86 eV/atom. The calculation puts the distance to the lowest polymorph of the same formula at 0.00 eV/f.u. The space group is P4/mmm (123). As for the formation enthalpy at 0 K: -0.0664 eV per atom.

---

No. 17
Density functional theory data (PBE-GGA) for a relaxed structure of CoTc2Au.

a = 2.722 Å, b = 2.722 Å, c = 7.763 Å
α = 90.00°, β = 90.00°, γ = 90.00°
Fractional coordinates of all 4 atoms:
Co1 0.000 0.000 0.000
Tc1 0.000 0.000 0.464
Tc2 0.500 0.500 0.213
Au1 0.500 0.500 0.743

Values from the calculation:
As for the volume: 14.379 Å³/atom. As for the electronic total energy: -7.57 eV/atom. The calculation puts the distance to the lowest polymorph of the same formula at 0.00 eV/f.u. The space group is P4mm (99). As for the formation enthalpy at 0 K: 0.2055 eV per atom.

---

No. 18
Density functional theory data (PBE-GGA) for a relaxed structure of PrPuSbAu.

a = 7.566 Å, b = 7.566 Å, c = 7.566 Å
α = 90.00°, β = 90.00°, γ = 90.00°
Fractional coordinates of all 16 atoms:
Pr1 0.000 0.000 0.000
Pr2 0.000 0.500 0.500
Pr3 0.500 0.000 0.500
Pr4 0.500 0.500 0.000
Pu1 0.000 0.000 0.500
Pu2 0.000 0.500 0.000
Pu3 0.500 0.000 0.000
Pu4 0.500 0.500 0.500
Sb1 0.250 0.250 0.250
Sb2 0.250 0.750 0.750
Sb3 0.750 0.250 0.750
Sb4 0.750 0.750 0.250
Au1 0.250 0.250 0.750
Au2 0.250 0.750 0.250
Au3 0.750 0.250 0.250
Au4 0.750 0.750 0.750

Values from the calculation:
As for the volume: 27.074 Å³/atom. As for the electronic total energy: -7.29 eV/atom. The value obtained for the uncorrected formation energy is -0.659 eV per atom. The space group is F-43m (216).

---

No. 19
Density functional theory data (PBE-GGA) for a relaxed structure of Li2TmCdAu2.

a = 4.532 Å, b = 4.532 Å, c = 6.428 Å
α = 90.00°, β = 90.00°, γ = 120.00°
Fractional coordinates of all 6 atoms:
Li1 0.333 0.667 0.169
Li2 0.667 0.333 0.831
Tm1 0.000 0.000 0.500
Cd1 0.000 0.000 0.000
Au1 0.333 0.667 0.735
Au2 0.667 0.333 0.265

Values from the calculation:
As for the volume: 19.055 Å³/atom. As for the electronic total energy: -3.18 eV/atom. The space group is P-3m1 (164). As for the formation enthalpy at 0 K: -0.5555 eV per atom.

---

No. 20
Density functional theory data (PBE-GGA) for a relaxed structure of La2MgAu.

a = 3.957 Å, b = 3.957 Å, c = 28.551 Å
α = 90.00°, β = 90.00°, γ = 120.00°
Fractional coordinates of all 12 atoms:
La1 0.000 0.000 0.240
La2 0.000 0.000 0.760
La3 0.333 0.667 0.427
La4 0.333 0.667 0.906
La5 0.667 0.333 0.094
La6 0.667 0.333 0.573
Mg1 0.000 0.000 0.000
Mg2 0.333 0.667 0.667
Mg3 0.667 0.333 0.333
Au1 0.000 0.000 0.500
Au2 0.333 0.667 0.167
Au3 0.667 0.333 0.833

Values from the calculation:
As for the volume: 32.262 Å³/atom. As for the electronic total energy: -3.94 eV/atom. The space group is R-3m (166). As for the formation enthalpy at 0 K: -0.2615 eV per atom.